[1]
RbSi2Pt meta-GGA SCAN single point on PBEsol structure; E_form (uncorrected) = 2.7 eV/f.u.; E = -108.3 eV per cell; symmetry = No. 225
1.0
0.0000 3.3106 3.3106
3.3106 0.0000 3.3106
3.3106 3.3106 0.0000
Rb Si Pt
1 2 1
direct
0.0000 0.0000 0.0000 Rb
0.2500 0.2500 0.2500 Si
0.7500 0.7500 0.7500 Si
0.5000 0.5000 0.5000 Pt

=====

[2]
Mg16Al12Ge meta-GGA SCAN single point on PBEsol structure; E = -192.1 eV per cell; ΔE_f = -0.01 eV/atom; symmetry = No. 160
1.0
7.3512 4.2442 3.0396
-7.3512 4.2442 3.0396
0.0000 -8.4885 3.0396
Mg Al Ge
16 12 1
direct
0.0000 0.0000 0.0000 Mg
0.0034 0.0034 0.6546 Mg
0.0034 0.4055 0.6836 Mg
0.0034 0.6546 0.0034 Mg
0.0034 0.6836 0.4055 Mg
0.2960 0.5903 0.5903 Mg
0.3181 0.3181 0.7185 Mg
0.3181 0.7185 0.3181 Mg
0.4055 0.0034 0.6836 Mg
0.4055 0.6836 0.0034 Mg
0.5903 0.2960 0.5903 Mg
0.5903 0.5903 0.2960 Mg
0.6546 0.0034 0.0034 Mg
0.6836 0.0034 0.4055 Mg
0.6836 0.4055 0.0034 Mg
0.7185 0.3181 0.3181 Mg
0.1855 0.3693 0.9994 Al
0.1855 0.9994 0.3693 Al
0.1925 0.8163 0.8163 Al
0.3693 0.1855 0.9994 Al
0.3693 0.9994 0.1855 Al
0.6432 0.6432 0.8315 Al
0.6432 0.8315 0.6432 Al
0.8163 0.1925 0.8163 Al
0.8163 0.8163 0.1925 Al
0.8315 0.6432 0.6432 Al
0.9994 0.1855 0.3693 Al
0.9994 0.3693 0.1855 Al
0.3065 0.3065 0.3065 Ge

=====

[3]
CdCu meta-GGA SCAN single point on PBEsol structure; E = -181.8 eV per cell; ΔE_f = 0.08 eV/atom; symmetry = No. 62
1.0
5.0391 0.0000 0.0000
0.0000 4.4948 0.0000
0.0000 0.0000 5.4542
Cd Cu
4 4
direct
0.1160 0.2500 0.1255 Cd
0.3840 0.7500 0.6255 Cd
0.6160 0.2500 0.3745 Cd
0.8840 0.7500 0.8745 Cd
0.0748 0.2500 0.6266 Cu
0.4252 0.7500 0.1266 Cu
0.5748 0.2500 0.8734 Cu
0.9252 0.7500 0.3734 Cu

=====

[4]
Tl2RhAu meta-GGA SCAN single point on PBEsol structure; E = -247.3 eV per cell; ΔE_f = 0.08 eV/atom; symmetry = No. 8
1.0
6.3648 -1.5281 0.0000
6.3648 1.5281 0.0000
-1.5677 0.0000 4.1950
Tl Rh Au
2 1 1
direct
0.0000 0.0000 0.0000 Tl
0.2144 0.2144 0.7143 Tl
0.6984 0.6984 0.1984 Rh
0.3959 0.3959 0.3961 Au

=====

[5]
CoMo2Pt meta-GGA SCAN single point on PBEsol structure; E = -157.7 eV per cell; ΔE_f = -0.11 eV/atom; symmetry = No. 65; energy above the most stable polymorph in this dataset = 57 meV per atom
1.0
2.6312 -3.9437 0.0000
2.6312 3.9437 0.0000
0.0000 0.0000 2.6550
Co Mo Pt
1 2 1
direct
0.0000 0.0000 0.0000 Co
0.0000 0.5000 0.5000 Mo
0.5000 0.0000 0.5000 Mo
0.5000 0.5000 0.0000 Pt

=====

[6]
KSr2Cu meta-GGA SCAN single point on PBEsol structure; E = -67.9 eV per cell; ΔE_f = 0.05 eV/atom; symmetry = No. 12; energy above the most stable polymorph in this dataset = 0 meV per atom
1.0
3.8245 -2.2038 0.0000
3.8245 2.2038 0.0000
-2.5033 0.0000 10.8106
K Sr Cu
1 2 1
direct
0.0000 0.0000 0.0000 K
0.2167 0.2167 0.6521 Sr
0.7833 0.7833 0.3479 Sr
0.5000 0.5000 0.5000 Cu

=====

[7]
BiSb2SeI meta-GGA SCAN single point on PBEsol structure; E_form (uncorrected) = 4.9 eV/f.u.; E = -205.1 eV per cell; symmetry = No. 123
1.0
5.8690 0.0000 0.0000
0.0000 5.8690 0.0000
0.0000 0.0000 5.7290
Bi Sb Se I
1 2 1 1
direct
0.0000 0.0000 0.0000 Bi
0.0000 0.5000 0.0000 Sb
0.5000 0.0000 0.0000 Sb
0.5000 0.5000 0.5000 Se
0.0000 0.0000 0.5000 I

=====

[8]
LuMoClO4 meta-GGA SCAN single point on PBEsol structure; E_form (uncorrected) = -19.2 eV/f.u.; E = -284.6 eV per cell; symmetry = No. 2
1.0
5.8246 0.0000 0.0000
2.1014 6.0717 0.0000
1.4831 1.5177 6.4382
Lu Mo Cl O
2 2 2 8
direct
0.2425 0.1987 0.3707 Lu
0.7575 0.8013 0.6293 Lu
0.3802 0.3557 0.7656 Mo
0.6198 0.6443 0.2344 Mo
0.0011 0.0309 0.7292 Cl
0.9989 0.9691 0.2708 Cl
0.0919 0.5236 0.6968 O
0.3540 0.2492 0.0334 O
0.4181 0.4759 0.3042 O
0.4761 0.1295 0.6284 O
0.5239 0.8705 0.3716 O
0.5819 0.5241 0.6958 O
0.6460 0.7508 0.9666 O
0.9081 0.4764 0.3032 O

=====

[9]
KMgP2S meta-GGA SCAN single point on PBEsol structure; E_form (uncorrected) = 0.8 eV/f.u.; E = -43.0 eV per cell; symmetry = No. 123
1.0
4.8588 0.0000 0.0000
0.0000 4.8588 0.0000
0.0000 0.0000 4.9547
K Mg P S
1 1 2 1
direct
0.0000 0.0000 0.0000 K
0.5000 0.5000 0.5000 Mg
0.0000 0.5000 0.5000 P
0.5000 0.0000 0.5000 P
0.5000 0.5000 0.0000 S

=====

[10]
ZnCo3Ru meta-GGA SCAN single point on PBEsol structure; E = -92.6 eV per cell; ΔE_f = 1.54 eV/atom; symmetry = No. 221
1.0
4.3102 0.0000 0.0000
0.0000 4.3102 0.0000
0.0000 0.0000 4.3102
Zn Co Ru
1 3 1
direct
0.0000 0.0000 0.0000 Zn
0.0000 0.5000 0.5000 Co
0.5000 0.0000 0.5000 Co
0.5000 0.5000 0.0000 Co
0.5000 0.5000 0.5000 Ru

=====

[11]
SrHRh2 meta-GGA SCAN single point on PBEsol structure; E = -189.1 eV per cell; symmetry = No. 227
1.0
0.0000 3.9522 3.9522
3.9522 0.0000 3.9522
3.9522 3.9522 0.0000
Sr H Rh
2 2 4
direct
0.1250 0.1250 0.1250 Sr
0.8750 0.8750 0.8750 Sr
0.3750 0.3750 0.3750 H
0.6250 0.6250 0.6250 H
0.0000 0.5000 0.5000 Rh
0.5000 0.0000 0.5000 Rh
0.5000 0.5000 0.0000 Rh
0.5000 0.5000 0.5000 Rh

=====

[12]
ScZn2Co meta-GGA SCAN single point on PBEsol structure; E = -59.5 eV per cell; ΔE_f = -0.22 eV/atom; symmetry = No. 139
1.0
-1.8846 1.8846 3.9367
1.8846 -1.8846 3.9367
1.8846 1.8846 -3.9367
Sc Zn Co
1 2 1
direct
0.0000 0.0000 0.0000 Sc
0.2500 0.7500 0.5000 Zn
0.7500 0.2500 0.5000 Zn
0.5000 0.5000 0.0000 Co